No. 1
A relaxed structure of RbAsF3. Source: Alexandria, functional GGA-PBE.

Cell lengths 4.4875, 6.9970, 7.5252 Å; angles 66.02, 81.00, 93.35 degrees
Sites, in units of the cell vectors:
As 0.4318 0.0510 0.5837
F 0.4197 0.3596 0.4638
As 0.9401 0.9678 0.8616
F 0.9354 0.2704 0.8074
F 0.2150 0.0525 0.3952
Rb 0.4056 0.3935 0.0005
F 0.9521 0.6593 0.9814
Rb 0.9663 0.6253 0.4447
F 0.4365 0.7484 0.6379
F 0.1569 0.9664 0.0500

## Properties
- E (eV/atom) = -4.47
- offset from the most stable computed form (kcal/mol of atoms) = 0.000

No. 2
A relaxed structure of RbAs2F6. Source: Alexandria, functional GGA-PBE.

Cell lengths 5.0174, 8.9756, 8.9756 Å; angles 115.06, 85.68, 85.68 degrees
Site moments in Bohr magnetons follow the coordinates.
Sites, in units of the cell vectors:
F 0.0419 0.3999 0.2441  0.02
As 0.3160 0.5391 0.7552  0.18
F 0.7102 0.2532 0.0546  0.06
Rb 0.7500 0.8850 0.1150  0.00
F 0.2102 0.0546 0.2532  0.06
F 0.5419 0.2441 0.3999  0.02
As 0.1840 0.2448 0.4609  0.18
Rb 0.2500 0.1150 0.8850  0.00
F 0.4581 0.7559 0.6001  0.02
As 0.8160 0.7552 0.5391  0.18
F 0.7898 0.9454 0.7468  0.06
F 0.2319 0.1134 0.5634  0.02
F 0.9581 0.6001 0.7559  0.02
F 0.7319 0.5634 0.1134  0.02
F 0.2681 0.4366 0.8866  0.02
F 0.7681 0.8866 0.4366  0.02
F 0.2898 0.7468 0.9454  0.06
As 0.6840 0.4609 0.2448  0.18

## Properties
- E (eV/atom) = -4.48

No. 3
A relaxed structure of RbAs3F. Source: Alexandria, functional GGA-PBE.

Cell lengths 4.8475, 4.8475, 4.8475 Å; angles 90.00, 90.00, 90.00 degrees
Sites, in units of the cell vectors:
As 0.5000 0.0000 0.0000
As 0.0000 0.5000 0.0000
F 0.0000 0.0000 0.0000
As 0.0000 0.0000 0.5000
Rb 0.5000 0.5000 0.5000

## Properties
- E (eV/atom) = -3.22
- offset from the most stable computed form (kcal/mol of atoms) = 0.000